# 1
First-principles (PBE) data for a relaxed structure of Cs4Pr3TmO8, as listed in the Alexandria database.

Cell lengths 7.362, 8.140, 7.362 Å; angles 116.88, 120.00, 90.00 degrees
Positions (direct):
Cs  0.500  0.000  0.000
Cs  0.500  0.000  0.500
Cs  0.000  0.000  0.000
Cs  0.000  0.000  0.500
Pr  0.500  0.500  0.000
Pr  0.500  0.500  0.500
Pr  0.000  0.500  0.500
Tm  0.000  0.500  0.000
O  0.215  0.668  0.952
O  0.215  0.668  0.431
O  0.276  0.329  0.553
O  0.737  0.668  0.952
O  0.263  0.332  0.048
O  0.724  0.671  0.447
O  0.785  0.332  0.569
O  0.785  0.332  0.048

## Properties
VASP energy	-102.09	eV per formula unit
crystal system	trigonal
ΔE_f (raw)	-2.51	eV per atom
symmetry	No. 166



# 2
First-principles (PBE) data for a relaxed structure of Cs3Pr2TmO6, as listed in the Alexandria database.

Cell lengths 6.339, 6.339, 7.244 Å; angles 98.36, 98.36, 120.01 degrees
Positions (direct):
Cs  0.165  0.835  0.500
Cs  0.835  0.165  0.500
Cs  0.500  0.500  0.500
Pr  0.333  0.667  0.000
Pr  0.667  0.333  0.000
Tm  0.000  0.000  0.000
O  0.944  0.627  0.833
O  0.739  0.739  0.168
O  0.056  0.373  0.167
O  0.627  0.944  0.833
O  0.261  0.261  0.832
O  0.373  0.056  0.167

## Properties
VASP energy	-76.73	eV per formula unit
crystal system	monoclinic
ΔE_f (raw)	-2.53	eV per atom
symmetry	No. 12



# 3
First-principles (PBE) data for a relaxed structure of Cs2PrU3O12, as listed in the Alexandria database.

Cell lengths 8.000, 8.000, 8.000 Å; angles 61.18, 61.18, 61.18 degrees
Positions (direct):
Cs  0.619  0.619  0.619
Cs  0.381  0.381  0.381
Pr  0.000  0.000  0.000
U  0.500  0.000  0.000
U  0.000  0.500  0.000
U  0.000  0.000  0.500
O  0.304  0.304  0.927
O  0.924  0.924  0.352
O  0.352  0.924  0.924
O  0.927  0.304  0.304
O  0.924  0.352  0.924
O  0.304  0.927  0.304
O  0.696  0.696  0.073
O  0.076  0.076  0.648
O  0.648  0.076  0.076
O  0.073  0.696  0.696
O  0.076  0.648  0.076
O  0.696  0.073  0.696

## Properties
VASP energy	-151.83	eV per formula unit
crystal system	trigonal
ΔE_f (raw)	-2.89	eV per atom
symmetry	No. 166



# 4
First-principles (PBE) data for a relaxed structure of Cs2PrUO6, as listed in the Alexandria database.

Cell lengths 6.402, 6.402, 6.401 Å; angles 60.00, 60.00, 90.00 degrees
Last column: magnetic moment on the atom in μB.
Positions (direct):
Cs  0.250  0.750  0.500  0.01
Cs  0.750  0.250  0.500  0.01
Pr  0.000  0.000  0.000  0.00
U  0.500  0.500  0.000  -0.01
O  0.269  0.731  0.000  0.14
O  0.731  0.731  0.000  0.14
O  0.269  0.269  0.462  0.14
O  0.731  0.269  0.000  0.14
O  0.269  0.269  0.000  0.14
O  0.731  0.731  0.538  0.14

## Properties
VASP energy	-73.27	eV per formula unit
crystal system	cubic
ΔE_f (raw)	-2.57	eV per atom
symmetry	No. 225